# 1
Material: Zn2AgW
Method: DFT, PBEsol
State: optimized geometry

Results
energy of formation: 0.262 eV per atom
size of the total moment: 0.0 μB/cell
SG: Cm (8)
calculated volume: 14.893 A^3/atom
VASP energy: -0.177 Ha/atom
E above lowest polymorph: 0 kJ/mol of formula units

abc: 2.6156 4.8778 5.2740
angles: 113.16 104.36 90.00
Last column: nearest neighbours and their distance in Å.
Fractional coordinates of all 4 atoms:
Zn 0.7470 0.3368 0.4940  4 Zn 2.62-2.86, 3 Ag 2.71-2.77, 4 W 2.76-2.78
Zn 0.0002 0.9072 0.0003  4 Zn 2.62-2.86, 3 W 2.73-2.74, 4 Ag 2.75-2.79
Ag 0.4985 0.4106 0.9970  2 Ag 2.62, 7 Zn 2.71-2.79, 3 W 2.87-2.92
W 0.2543 0.8455 0.5087  2 W 2.62, 7 Zn 2.73-2.78, 3 Ag 2.87-2.92

***

# 2
Material: ZrAgW2
Method: DFT, PBEsol
State: optimized geometry

Results
energy of formation: 0.360 eV per atom
size of the total moment: 0.0 μB/cell
SG: C2/m (12)
calculated volume: 16.940 A^3/atom
VASP energy: -0.354 Ha/atom
E above lowest polymorph: 0 kJ/mol of formula units

abc: 2.7114 5.2508 5.5533
angles: 116.05 100.32 97.90
Last column: nearest neighbours and their distance in Å.
Fractional coordinates of all 4 atoms:
W 0.5000 0.5000 0.5000  4 W 2.71-2.78, 2 Zr 2.86, 2 Ag 2.86
W 0.0000 0.0000 0.5000  4 W 2.71-2.78, 2 Ag 2.86, 2 Zr 2.86
Ag 0.0000 0.5000 0.0000  2 Ag 2.71, 2 Zr 2.78, 4 W 2.86
Zr 0.5000 0.0000 0.0000  2 Zr 2.71, 2 Ag 2.78, 4 W 2.86

***

# 3
Material: ZrAgW2
Method: DFT, PBEsol
State: optimized geometry

Results
energy of formation: 0.369 eV per atom
size of the total moment: 0.0 μB/cell
SG: P4/mmm (123)
calculated volume: 17.061 A^3/atom
VASP energy: -0.354 Ha/atom
E above lowest polymorph: 3 kJ/mol of formula units

abc: 3.9009 3.9009 4.4849
angles: 90.00 90.00 90.00
Last column: nearest neighbours and their distance in Å.
Fractional coordinates of all 4 atoms:
W 0.0000 0.5000 0.0000  4 W 2.76, 4 Zr 2.97, 4 Ag 2.97
Ag 0.0000 0.0000 0.5000  4 Zr 2.76, 8 W 2.97
Zr 0.5000 0.5000 0.5000  4 Ag 2.76, 8 W 2.97
W 0.5000 0.0000 0.0000  4 W 2.76, 4 Zr 2.97, 4 Ag 2.97

***

# 4
Material: ZrAgW2
Method: DFT, PBEsol
State: optimized geometry

Results
energy of formation: 0.393 eV per atom
size of the total moment: 0.0 μB/cell
SG: Imm2 (44)
calculated volume: 17.299 A^3/atom
VASP energy: -0.353 Ha/atom
E above lowest polymorph: 13 kJ/mol of formula units

abc: 3.5322 4.5659 5.1710
angles: 116.20 109.97 90.00
Last column: nearest neighbours and their distance in Å.
Fractional coordinates of all 4 atoms:
W 0.9825 0.9825 0.9651  2 W 2.57, 2 Ag 2.86
W 0.2642 0.7642 0.5285  2 W 2.57, 2 Zr 2.81
Zr 0.5091 0.5091 0.0183  8 W 2.81-3.10, 4 Ag 2.88-3.05
Ag 0.7441 0.2441 0.4882  8 W 2.86-3.07, 4 Zr 2.88-3.05

***

# 5
Material: ZrAgW
Method: DFT, PBEsol
State: optimized geometry

Results
energy of formation: 0.400 eV per atom
size of the total moment: 0.0 μB/cell
SG: P-6m2 (187)
calculated volume: 17.822 A^3/atom
VASP energy: -0.306 Ha/atom

abc: 2.6346 4.8408 4.8408
angles: 120.00 90.00 90.00
Last column: nearest neighbours and their distance in Å.
Fractional coordinates of all 3 atoms:
Zr 0.3337 0.6667 0.3333  2 Zr 2.63
Ag 0.8324 0.0000 0.0000  2 Ag 2.63, 3 W 2.79
W 0.8340 0.3333 0.6667  2 W 2.63, 3 Ag 2.79

***

# 6
Material: Y3Ag2
Method: DFT, PBEsol
State: optimized geometry

Results
energy of formation: -0.236 eV per atom
size of the total moment: 0.0 μB/cell
SG: P4/mbm (127)
calculated volume: 24.875 A^3/atom
VASP energy: -0.208 Ha/atom
E above lowest polymorph: 0 kJ/mol of formula units

abc: 3.7083 8.1902 8.1902
angles: 90.00 90.00 90.00
Last column: nearest neighbours and their distance in Å.
Fractional coordinates of all 10 atoms:
Y 0.5000 0.3332 0.1668  6 Ag 3.03-3.05
Y 0.0000 0.0000 0.0000  4 Ag 3.23, 8 Y 3.57
Ag 0.0000 0.6261 0.1261  1 Ag 2.92, 8 Y 3.03-3.23
Ag 0.0000 0.1261 0.3739  1 Ag 2.92, 8 Y 3.03-3.23
Y 0.5000 0.6668 0.8332  6 Ag 3.03-3.05
Ag 0.0000 0.8739 0.6261  1 Ag 2.92, 8 Y 3.03-3.23
Ag 0.0000 0.3739 0.8739  1 Ag 2.92, 8 Y 3.03-3.23
Y 0.0000 0.5000 0.5000  4 Ag 3.23, 8 Y 3.57
Y 0.5000 0.8332 0.3332  6 Ag 3.03-3.05
Y 0.5000 0.1668 0.6668  6 Ag 3.03-3.05

***

# 7
Material: Y2Ag7
Method: DFT, PBEsol
State: optimized geometry

Results
energy of formation: -0.248 eV per atom
size of the total moment: 0.0 μB/cell
SG: Cmcm (63)
calculated volume: 19.183 A^3/atom
VASP energy: -0.159 Ha/atom

abc: 5.3522 5.3522 13.8858
angles: 90.00 90.00 119.76
Last column: nearest neighbours and their distance in Å.
Fractional coordinates of all 18 atoms:
Ag 0.1543 0.4762 0.0747  6 Ag 2.74-2.98
Y 0.8090 0.8090 0.1150  14 Ag 3.09-3.34
Ag 0.8457 0.5238 0.9253  6 Ag 2.74-2.98
Ag 0.6775 0.6775 0.7500  8 Ag 2.67-2.85
Ag 0.8189 0.3133 0.2500  8 Ag 2.67-2.91
Ag 0.4762 0.1543 0.4253  6 Ag 2.74-2.98
Ag 0.8457 0.5238 0.5747  6 Ag 2.74-2.98
Ag 0.3225 0.3225 0.2500  8 Ag 2.67-2.85
Ag 0.1811 0.6867 0.7500  8 Ag 2.67-2.91
Ag 0.3133 0.8189 0.2500  8 Ag 2.67-2.91
Ag 0.4762 0.1543 0.0747  6 Ag 2.74-2.98
Ag 0.5238 0.8457 0.9253  6 Ag 2.74-2.98
Ag 0.5238 0.8457 0.5747  6 Ag 2.74-2.98
Ag 0.6867 0.1811 0.7500  8 Ag 2.67-2.91
Y 0.1910 0.1910 0.6150  14 Ag 3.09-3.34
Y 0.1910 0.1910 0.8850  14 Ag 3.09-3.34
Y 0.8090 0.8090 0.3850  14 Ag 3.09-3.34
Ag 0.1543 0.4762 0.4253  6 Ag 2.74-2.98

***

# 8
Material: Y2Ag
Method: DFT, PBEsol
State: optimized geometry

Results
energy of formation: -0.142 eV per atom
size of the total moment: 0.0 μB/cell
SG: P6_3/mmc (194)
calculated volume: 25.217 A^3/atom
VASP energy: -0.213 Ha/atom

abc: 5.0522 5.0522 6.8448
angles: 90.00 90.00 120.00
Last column: nearest neighbours and their distance in Å.
Fractional coordinates of all 6 atoms:
Ag 0.6667 0.3333 0.7500  3 Y 2.92
Y 0.0000 0.0000 0.5000  8 Y 3.38-3.42, 6 Ag 3.38
Y 0.0000 0.0000 0.0000  8 Y 3.38-3.42, 6 Ag 3.38
Y 0.3333 0.6667 0.7500  3 Ag 2.92
Ag 0.3333 0.6667 0.2500  3 Y 2.92
Y 0.6667 0.3333 0.2500  3 Ag 2.92

***

# 9
Material: Y2Ag
Method: DFT, PBEsol
State: optimized geometry

Results
energy of formation: -0.178 eV per atom
size of the total moment: 0.0 μB/cell
SG: P-62m (189)
calculated volume: 26.203 A^3/atom
VASP energy: -0.214 Ha/atom

abc: 4.8647 7.4817 7.4817
angles: 120.00 90.00 90.00
Last column: nearest neighbours and their distance in Å.
Fractional coordinates of all 9 atoms:
Ag 0.0000 0.6667 0.3333  3 Y 2.81
Ag 0.0000 0.3333 0.6667  3 Y 2.81
Y 0.5000 0.5917 0.0000  5 Ag 3.05-3.32
Y 0.0000 0.7395 0.7395  4 Ag 2.81-3.12
Y 0.5000 0.4083 0.4083  5 Ag 3.05-3.32
Y 0.0000 0.2605 0.0000  4 Ag 2.81-3.12
Y 0.0000 0.0000 0.2605  4 Ag 2.81-3.12
Y 0.5000 0.0000 0.5917  5 Ag 3.05-3.32
Ag 0.5000 0.0000 0.0000  9 Y 3.05-3.12

***

# 10
Material: Y2Ag3
Method: DFT, PBEsol
State: optimized geometry

Results
energy of formation: -0.256 eV per atom
size of the total moment: 0.0 μB/cell
SG: Fdd2 (43)
calculated volume: 21.964 A^3/atom
VASP energy: -0.183 Ha/atom
E above lowest polymorph: 32 kJ/mol of formula units

abc: 5.7213 5.7213 8.2157
angles: 100.26 100.26 119.23
Last column: nearest neighbours and their distance in Å.
Fractional coordinates of all 10 atoms:
Y 0.5074 0.1577 0.8961  8 Ag 2.96-3.27
Y 0.4077 0.2574 0.3961  8 Ag 2.96-3.27
Ag 0.9318 0.5648 0.7410  4 Ag 2.75-2.86, 1 Y 2.96
Ag 0.9754 0.9754 0.0000  4 Ag 2.75-2.81, 2 Y 3.04
Ag 0.2254 0.7254 0.5000  4 Ag 2.75-2.81, 2 Y 3.04
Ag 0.4408 0.5738 0.7590  4 Ag 2.75-2.86, 1 Y 2.96
Y 0.8613 0.0116 0.6039  8 Ag 2.96-3.27
Ag 0.8148 0.6818 0.2410  4 Ag 2.75-2.86, 1 Y 2.96
Y 0.2616 0.6113 0.1039  8 Ag 2.96-3.27
Ag 0.8238 0.1908 0.2590  4 Ag 2.75-2.86, 1 Y 2.96

***

# 11
Material: Y2Ag
Method: DFT, PBEsol
State: optimized geometry

Results
energy of formation: -0.152 eV per atom
size of the total moment: 0.0 μB/cell
SG: Cmc2_1 (36)
calculated volume: 26.848 A^3/atom
VASP energy: -0.213 Ha/atom

abc: 3.7194 6.6218 6.8149
angles: 90.02 90.00 106.31
Last column: nearest neighbours and their distance in Å.
Fractional coordinates of all 6 atoms:
Y 0.3876 0.7751 0.2088  4 Ag 2.89-3.05
Ag 0.7407 0.4815 0.4354  7 Y 2.89-3.05
Y 0.6609 0.3219 0.0223  3 Ag 2.99-3.00
Y 0.0613 0.1227 0.5225  3 Ag 2.99-3.00
Y 0.3347 0.6693 0.7087  4 Ag 2.89-3.05
Ag 0.9814 0.9629 0.9357  7 Y 2.89-3.05

***

# 12
Material: Y2Ag
Method: DFT, PBEsol
State: optimized geometry

Results
energy of formation: -0.210 eV per atom
size of the total moment: 0.0 μB/cell
SG: Fd-3m (227)
calculated volume: 25.654 A^3/atom
VASP energy: -0.215 Ha/atom

abc: 9.5490 9.5490 9.5490
angles: 60.00 60.00 60.00
Last column: nearest neighbours and their distance in Å.
Fractional coordinates of all 24 atoms:
Y 0.8144 0.8144 0.1856  2 Ag 3.03
Ag 0.8424 0.8424 0.4727  6 Y 3.00-3.03
Y 0.4356 0.0644 0.4356  2 Ag 3.03
Y 0.4356 0.4356 0.0644  2 Ag 3.03
Ag 0.4076 0.4076 0.4076  6 Y 3.00-3.03
Ag 0.8424 0.4727 0.8424  6 Y 3.00-3.03
Y 0.4356 0.0644 0.0644  2 Ag 3.03
Y 0.8144 0.1856 0.8144  2 Ag 3.03
Y 0.0644 0.0644 0.4356  2 Ag 3.03
Ag 0.7773 0.4076 0.4076  6 Y 3.00-3.03
Ag 0.4076 0.4076 0.7773  6 Y 3.00-3.03
Y 0.0644 0.4356 0.0644  2 Ag 3.03
Y 0.1856 0.8144 0.1856  2 Ag 3.03
Ag 0.8424 0.8424 0.8424  6 Y 3.00-3.03
Y 0.6250 0.6250 0.1250  6 Ag 3.00
Y 0.1856 0.1856 0.8144  2 Ag 3.03
Y 0.1856 0.8144 0.8144  2 Ag 3.03
Y 0.6250 0.6250 0.6250  6 Ag 3.00
Ag 0.4076 0.7773 0.4076  6 Y 3.00-3.03
Y 0.0644 0.4356 0.4356  2 Ag 3.03
Y 0.8144 0.1856 0.1856  2 Ag 3.03
Y 0.1250 0.6250 0.6250  6 Ag 3.00
Ag 0.4727 0.8424 0.8424  6 Y 3.00-3.03
Y 0.6250 0.1250 0.6250  6 Ag 3.00